1.
This record from Alexandria via LeMat-Bulk describes a geometry-optimized SrTc3Hg structure. The functional is PBE-GGA.

Cell: 5.1650 5.1650 5.1650 Å, 90.00 90.00 90.00°
Atoms (fractional coordinates):
Sr1 0.5000 0.5000 0.5000
Hg1 0.0000 0.0000 0.0000
Tc1 0.0000 0.5000 0.0000
Tc2 0.0000 0.0000 0.5000
Tc3 0.5000 0.0000 0.0000

Results
- Total energy: -23.35 eV for the cell shown
- D(E_F): 5.1 states/eV/cell
- Relative energy among the computed polymorphs: 0.000 eV per atom
- Formation energy from the elements: 1945 meV per atom
- Space-group type: Pm-3m (221)

---

2.
This record from Alexandria via LeMat-Bulk describes a geometry-optimized SrTc2Hg structure. The functional is PBE-GGA.

Cell: 4.8261 4.8261 4.8261 Å, 119.95 119.95 90.09°
Atoms (fractional coordinates):
Hg1 0.5000 0.5000 0.0000
Sr1 0.7500 0.2500 0.5000
Tc1 0.0000 0.0000 0.0000
Tc2 0.2500 0.7500 0.5000

Results
- Total energy: -19.60 eV for the cell shown
- D(E_F): 2.8 states/eV/cell
- Formation energy from the elements: 778 meV per atom
- Space-group type: I-4m2 (119)

---

3.
This record from Alexandria via LeMat-Bulk describes a geometry-optimized SrTc2Hg structure. The functional is PBE-GGA.

Cell: 4.3289 4.3289 10.6801 Å, 78.31 78.31 90.00°
Atoms (fractional coordinates):
Sr1 0.5000 0.5000 0.0000
Sr2 0.2500 0.7500 0.5000
Hg1 0.0000 0.0000 0.0000
Hg2 0.7500 0.2500 0.5000
Tc1 0.7472 0.1250 0.2500
Tc2 0.0028 0.6250 0.2500
Tc3 0.3750 0.2528 0.7500
Tc4 0.8750 0.9972 0.7500

Results
- Total energy: -39.19 eV for the cell shown
- D(E_F): 11.3 states/eV/cell
- Formation energy from the elements: 780 meV per atom
- Space-group type: I-42d (122)

---

4.
This record from Alexandria via LeMat-Bulk describes a geometry-optimized SrTc2Hg structure. The functional is PBE-GGA.

Cell: 5.8666 5.8666 2.8512 Å, 79.05 79.05 120.12°
Atoms (fractional coordinates):
Hg1 0.5000 0.0000 0.5000
Sr1 0.0000 0.5000 0.5000
Tc1 0.0000 0.0000 0.0000
Tc2 0.5000 0.5000 0.0000

Results
- Total energy: -19.14 eV for the cell shown
- D(E_F): 4.6 states/eV/cell
- Formation energy from the elements: 895 meV per atom
- Space-group type: C2/m (12)

---

5.
This record from Alexandria via LeMat-Bulk describes a geometry-optimized SrTcHg structure. The functional is PBE-GGA.

Cell: 5.1438 5.1438 5.1438 Å, 60.00 60.00 60.00°
Atoms (fractional coordinates):
Hg1 0.5000 0.5000 0.5000
Sr1 0.2500 0.2500 0.2500
Tc1 0.0000 0.0000 0.0000

Results
- Total energy: -8.67 eV for the cell shown
- D(E_F): 1.3 states/eV/cell
- Relative energy among the computed polymorphs: 0.687 eV per atom
- Formation energy from the elements: 1228 meV per atom
- Space-group type: F-43m (216)

---

6.
This record from Alexandria via LeMat-Bulk describes a geometry-optimized SrTcHg structure. The functional is PBE-GGA.

Cell: 4.9277 4.9277 4.9277 Å, 60.00 60.00 60.00°
Atoms (fractional coordinates):
Hg1 0.0000 0.0000 0.0000
Sr1 0.5000 0.5000 0.5000
Tc1 0.2500 0.2500 0.2500

Results
- Total energy: -9.94 eV for the cell shown
- D(E_F): 2.6 states/eV/cell
- Relative energy among the computed polymorphs: 0.263 eV per atom
- Formation energy from the elements: 804 meV per atom
- Space-group type: F-43m (216)

---

7.
This record from Alexandria via LeMat-Bulk describes a geometry-optimized SrTcHg3 structure. The functional is PBE-GGA.

Cell: 5.2699 5.2699 5.2699 Å, 90.00 90.00 90.00°
Atoms (fractional coordinates):
Sr1 0.5000 0.5000 0.5000
Hg1 0.0000 0.5000 0.0000
Hg2 0.0000 0.0000 0.5000
Hg3 0.5000 0.0000 0.0000
Tc1 0.0000 0.0000 0.0000

Results
- Total energy: -12.03 eV for the cell shown
- D(E_F): 3.1 states/eV/cell
- Relative energy among the computed polymorphs: 0.000 eV per atom
- Formation energy from the elements: 184 meV per atom
- Space-group type: Pm-3m (221)

---

8.
This record from Alexandria via LeMat-Bulk describes a geometry-optimized SrTc2Hg structure. The functional is PBE-GGA.

Cell: 2.8504 2.8504 9.6705 Å, 90.00 90.00 90.00°
Atoms (fractional coordinates):
Hg1 0.5000 0.5000 0.2500
Sr1 0.5000 0.5000 0.7500
Tc1 0.0000 0.0000 0.0225
Tc2 0.0000 0.0000 0.4775

Results
- Total energy: -18.71 eV for the cell shown
- D(E_F): 4.2 states/eV/cell
- Formation energy from the elements: 1002 meV per atom
- Space-group type: P4/mmm (123)

---

| no. | total magnetization (μB per formula unit) |
| --- | --- |
| 1 | 8.9 |
| 2 | 0.0 |
| 3 | 0.0 |
| 4 | 0.0 |
| 5 | 3.3 |
| 6 | 2.6 |
| 7 | 0.0 |
| 8 | 0.0 |